Computed, not measured: NdSmGdIn after structural relaxation at the GGA-PBE level of DFT.

abc: 5.5491 5.5491 5.5491
angles: 60.00 60.00 60.00
Each line ends with the local moment (μB).
Fractional positions:
Nd  0.0000  0.0000  0.0000  0.17
In  0.2500  0.2500  0.2500  -0.04
Gd  0.7500  0.7500  0.7500  7.38
Sm  0.5000  0.5000  0.5000  0.18

Output
Crystal system = cubic
SG = No. 216
Calculated total energy = -6.748 eV per atom



Computed, not measured: AlSnPb after structural relaxation at the GGA-PBE level of DFT.

abc: 3.3652 5.3723 8.8219
angles: 99.74 89.90 89.90
Fractional positions:
Sn  0.3678  0.3142  0.7842
Al  0.8707  0.8471  0.7544
Pb  0.8692  0.3666  0.1832
Pb  0.3684  0.9173  0.4318
Sn  0.3711  0.8191  0.0334
Al  0.8661  0.4464  0.5266

Output
Crystal system = triclinic
SG = No. 1
Distance to the lowest polymorph of the same formula = 19 meV/atom



Computed, not measured: Tb2NdTl3Te6 after structural relaxation at the GGA-PBE level of DFT.

abc: 7.7968 7.7968 8.5858
angles: 98.71 98.71 119.99
Fractional positions:
Te  0.2684  0.2684  0.7849
Te  0.9276  0.5877  0.7832
Te  0.4123  0.0724  0.2168
Te  0.7316  0.7316  0.2151
Te  0.5877  0.9276  0.7832
Te  0.0724  0.4123  0.2168
Tl  0.8354  0.1646  0.5000
Tl  0.5000  0.5000  0.5000
Tl  0.1646  0.8354  0.5000
Tb  0.3330  0.6670  0.0000
Tb  0.6670  0.3330  0.0000
Nd  0.0000  0.0000  0.0000

Output
Crystal system = monoclinic
Formation energy without anion corrections = -1.064 eV/atom
SG = No. 12



Computed, not measured: TaCrPt2 after structural relaxation at the GGA-PBE level of DFT.

abc: 9.2126 9.2126 9.2126
angles: 17.46 17.46 17.46
Each line ends with the local moment (μB).
Fractional positions:
Pt  0.4956  0.4956  0.4956  0.00
Pt  0.0044  0.0044  0.0044  0.00
Ta  0.2500  0.2500  0.2500  -0.07
Cr  0.7500  0.7500  0.7500  1.15

Output
Crystal system = trigonal
SG = No. 166
Distance to the lowest polymorph of the same formula = 346 meV/atom



Computed, not measured: Ac7Ga2Hg2 after structural relaxation at the GGA-PBE level of DFT.

abc: 7.2978 8.3500 7.2978
angles: 89.99 110.43 90.01
Fractional positions:
Ac  0.0000  0.0000  0.0000
Ac  0.5003  0.2924  0.9999
Ac  0.4997  0.7076  0.0001
Hg  0.2940  0.0001  0.7060
Hg  0.7060  0.9999  0.2940
Ga  0.8429  0.5000  0.8429
Ac  0.5001  0.2745  0.4999
Ac  0.9999  0.7076  0.5003
Ac  0.0001  0.2924  0.4997
Ac  0.4999  0.7255  0.5001
Ga  0.1571  0.5000  0.1571

Output
Crystal system = orthorhombic
SG = No. 65
Calculated total energy = -3.316 eV per atom



Computed, not measured: Rb2MgCrSe4 after structural relaxation at the GGA-PBE level of DFT.

abc: 6.1079 7.7132 12.8921
angles: 84.62 76.30 66.68
Each line ends with the local moment (μB).
Fractional positions:
Se  0.8712  0.8055  0.8938  -0.05
Rb  0.8201  0.0000  0.3599  0.00
Mg  0.0000  0.0000  0.0000  0.00
Rb  0.9299  0.5000  0.1401  0.00
Cr  0.2500  0.5000  0.5000  2.06
Se  0.5705  0.1945  0.1062  -0.05
Se  0.1795  0.3055  0.3938  -0.05
Se  0.5150  0.3055  0.6062  -0.05
Cr  0.5000  0.0000  0.0000  2.06
Se  0.8788  0.6945  0.6062  -0.05
Rb  0.5701  0.5000  0.8599  0.00
Se  0.4267  0.6945  0.3938  -0.05
Rb  0.1799  0.0000  0.6401  0.00
Se  0.2350  0.1945  0.8938  -0.05
Se  0.3233  0.8055  0.1062  -0.05
Mg  0.7500  0.5000  0.5000  0.00

Output
Crystal system = orthorhombic
Formation energy without anion corrections = -0.928 eV/atom
SG = No. 70



Computed, not measured: Ca2TaSb after structural relaxation at the GGA-PBE level of DFT.

abc: 5.5514 5.5514 6.1371
angles: 81.79 81.79 33.83
Each line ends with the local moment (μB).
Fractional positions:
Sb  0.7500  0.7500  0.7500  0.00
Ca  0.4977  0.4977  0.4972  0.04
Ta  0.2500  0.2500  0.2500  0.73
Ca  0.0023  0.0023  0.0028  0.04

Output
Crystal system = monoclinic
Formation energy without anion corrections = 0.368 eV/atom
SG = No. 12



Computed, not measured: Sc2CdW after structural relaxation at the GGA-PBE level of DFT.

abc: 2.9183 2.9183 9.5042
angles: 90.00 90.00 90.00
Fractional positions:
W  0.0000  0.0000  0.5015
Sc  0.5000  0.5000  0.2719
Sc  0.0000  0.0000  0.9882
Cd  0.5000  0.5000  0.7384

Output
Crystal system = tetragonal
SG = No. 99
Calculated total energy = -6.392 eV per atom



Computed, not measured: Pm6HoTh after structural relaxation at the GGA-PBE level of DFT.

abc: 5.1572 7.2369 7.2369
angles: 90.03 90.00 90.00
Fractional positions:
Pm  0.0000  0.8706  0.1294
Pm  0.0000  0.8708  0.6208
Pm  0.0000  0.3792  0.1292
Ho  0.5000  0.1249  0.8751
Pm  0.0000  0.3795  0.6205
Pm  0.5000  0.1250  0.3751
Th  0.5000  0.6250  0.3750
Pm  0.5000  0.6249  0.8750

Output
Crystal system = tetragonal
SG = No. 123
Distance to the lowest polymorph of the same formula = 0 meV/atom



Computed, not measured: HoPaSb2C after structural relaxation at the GGA-PBE level of DFT.

abc: 4.2869 4.2869 13.1837
angles: 90.00 90.00 90.00
Fractional positions:
Pa  0.5000  0.0000  0.5786
Ho  0.5000  0.0000  0.0973
C  0.0000  0.0000  0.5000
Sb  0.5000  0.0000  0.8617
C  0.5000  0.5000  0.5000
Sb  0.5000  0.0000  0.3265
Sb  0.0000  0.5000  0.6735
Sb  0.0000  0.5000  0.1383
Pa  0.0000  0.5000  0.4214
Ho  0.0000  0.5000  0.9027

Output
Crystal system = tetragonal
Formation energy without anion corrections = -0.462 eV/atom
SG = No. 129



Computed, not measured: La2YBe after structural relaxation at the GGA-PBE level of DFT.

abc: 5.9577 5.9577 5.9577
angles: 133.20 133.20 68.35
Fractional positions:
La  0.0000  0.0000  0.0000
Y  0.2500  0.7500  0.5000
La  0.5000  0.5000  0.0000
Be  0.7500  0.2500  0.5000

Output
Crystal system = tetragonal
SG = No. 139
Calculated total energy = -4.753 eV per atom



Computed, not measured: YTcN2 after structural relaxation at the GGA-PBE level of DFT.

abc: 3.9882 3.9882 3.9882
angles: 60.00 60.00 60.00
Fractional positions:
Tc  0.5000  0.5000  0.5000
Y  0.0000  0.0000  0.0000
N  0.7500  0.7500  0.7500
N  0.2500  0.2500  0.2500

Output
Crystal system = cubic
Formation energy without anion corrections = -0.159 eV/atom
SG = No. 225
Distance to the lowest polymorph of the same formula = 709 meV/atom



Computed, not measured: BeZnOs2 after structural relaxation at the GGA-PBE level of DFT.

abc: 4.4113 4.4113 4.7130
angles: 77.07 77.07 36.13
Fractional positions:
Os  0.9856  0.9856  0.0207
Os  0.5144  0.5144  0.4793
Be  0.2500  0.2500  0.2500
Zn  0.7500  0.7500  0.7500

Output
Crystal system = monoclinic
SG = No. 12
Calculated total energy = -6.690 eV per atom



Computed, not measured: InSiTe after structural relaxation at the GGA-PBE level of DFT.

abc: 3.9725 3.9725 11.7639
angles: 80.28 80.28 60.00
Fractional positions:
Si  0.1541  0.1541  0.5377
Te  0.7108  0.7108  0.8675
Si  0.8459  0.8459  0.4623
Te  0.2892  0.2892  0.1325
In  0.5707  0.5707  0.2878
In  0.4293  0.4293  0.7122

Output
Crystal system = trigonal
Formation energy without anion corrections = 0.097 eV/atom
SG = No. 166
Distance to the lowest polymorph of the same formula = 0 meV/atom



Computed, not measured: Rb2CuBiIr after structural relaxation at the GGA-PBE level of DFT.

abc: 6.1626 4.7197 6.1626
angles: 90.00 90.00 90.00
Each line ends with the local moment (μB).
Fractional positions:
Rb  0.5000  0.0000  0.0000  0.00
Rb  0.0000  0.0000  0.5000  0.00
Bi  0.5000  0.5000  0.5000  0.19
Cu  0.0000  0.0000  0.0000  0.23
Ir  0.0000  0.5000  0.0000  1.03

Output
Crystal system = tetragonal
SG = No. 123
Calculated total energy = -2.881 eV per atom



Computed, not measured: Ac2CeErSb4 after structural relaxation at the GGA-PBE level of DFT.

abc: 4.6187 7.9834 7.9998
angles: 109.45 90.00 90.00
Each line ends with the local moment (μB).
Fractional positions:
Sb  0.0000  0.2611  0.7733  -0.01
Sb  0.0000  0.7389  0.2267  -0.01
Sb  0.5000  0.7534  0.7711  -0.01
Ac  0.5000  0.0000  0.5000  0.00
Sb  0.5000  0.2466  0.2289  -0.01
Er  0.5000  0.5000  0.0000  0.00
Ac  0.0000  0.5000  0.5000  0.00
Ce  0.0000  0.0000  0.0000  0.71

Output
Crystal system = monoclinic
Formation energy without anion corrections = -1.123 eV/atom
SG = No. 10



Computed, not measured: LaTa3Zn after structural relaxation at the GGA-PBE level of DFT.

abc: 4.9189 4.9189 4.9189
angles: 90.00 90.00 90.00
Fractional positions:
Ta  0.0000  0.0000  0.5000
Ta  0.5000  0.0000  0.0000
Ta  0.0000  0.5000  0.0000
La  0.0000  0.0000  0.0000
Zn  0.5000  0.5000  0.5000

Output
Crystal system = cubic
SG = No. 221
Distance to the lowest polymorph of the same formula = 1073 meV/atom



Computed, not measured: Dy3Zn8Rh after structural relaxation at the GGA-PBE level of DFT.

abc: 5.2806 5.2806 9.3694
angles: 73.63 73.63 60.00
Fractional positions:
Dy  0.3787  0.3787  0.8639
Zn  0.9357  0.4338  0.1966
Zn  0.1882  0.1882  0.4355
Zn  0.9379  0.4437  0.6804
Zn  0.6856  0.6856  0.9431
Zn  0.4338  0.9357  0.1966
Dy  0.9882  0.9882  0.0353
Dy  0.5044  0.5044  0.4868
Rh  0.8819  0.8819  0.3543
Zn  0.4437  0.9379  0.6804
Zn  0.4338  0.4338  0.1966
Zn  0.9379  0.9379  0.6804

Output
Crystal system = trigonal
SG = No. 160
Calculated total energy = -2.965 eV per atom



Computed, not measured: PuAs6Pd12 after structural relaxation at the GGA-PBE level of DFT.

abc: 7.2585 7.2585 7.2585
angles: 104.50 104.50 104.50
Each line ends with the local moment (μB).
Fractional positions:
As  0.7526  0.3184  0.7526  0.00
As  0.6816  0.2474  0.2474  0.00
As  0.3184  0.7526  0.7526  0.00
Pd  0.5766  0.8346  0.5766  0.00
As  0.2474  0.2474  0.6816  0.00
Pd  0.5000  0.8759  0.1241  0.00
As  0.7526  0.7526  0.3184  0.00
As  0.2474  0.6816  0.2474  0.00
Pd  0.5766  0.5766  0.8346  0.00
Pd  0.5000  0.1241  0.8759  0.00
Pd  0.8346  0.5766  0.5766  0.00
Pu  0.0000  0.0000  0.0000  -5.55
Pd  0.1654  0.4234  0.4234  0.00
Pd  0.4234  0.1654  0.4234  0.00
Pd  0.1241  0.5000  0.8759  0.00
Pd  0.1241  0.8759  0.5000  0.00
Pd  0.4234  0.4234  0.1654  0.00
Pd  0.8759  0.5000  0.1241  0.00
Pd  0.8759  0.1241  0.5000  0.00

Output
Crystal system = trigonal
SG = No. 166
Calculated total energy = -5.819 eV per atom



Computed, not measured: Li14ZnCu after structural relaxation at the GGA-PBE level of DFT.

abc: 5.8724 5.8724 9.6455
angles: 90.00 90.00 121.57
Fractional positions:
Li  0.7140  0.7824  0.0000
Zn  0.0342  0.9658  0.5000
Li  0.8681  0.6283  0.2719
Li  0.8770  0.1230  0.2513
Li  0.5409  0.9605  0.5000
Li  0.3796  0.6204  0.2591
Li  0.3717  0.1319  0.2719
Li  0.2139  0.7861  0.0000
Cu  0.5353  0.4647  0.5000
Li  0.7117  0.2883  0.0000
Li  0.3717  0.1319  0.7281
Li  0.2176  0.2860  0.0000
Li  0.8681  0.6283  0.7281
Li  0.8770  0.1230  0.7487
Li  0.3796  0.6204  0.7409
Li  0.0395  0.4591  0.5000

Output
Crystal system = orthorhombic
SG = No. 38
Calculated total energy = -2.018 eV per atom